Entry 1:
This record from the Alexandria database describes a relaxed TiOsRuS crystal. The functional is PBE-GGA.

Values from the calculation:
E: -8.345 eV per atom
Formation energy (no corrections): -82 kJ/mol of formula units
Space-group type: Cm

POSCAR file:
```
TiOsRuS
1.0
7.2998 -1.4775 0.0000
7.2998 1.4775 0.0000
-0.5104 0.0000 2.8744
Ti Os Ru S
1 1 1 1
direct
0.0000 0.0000 0.0000
0.3789 0.3789 0.2983
0.7601 0.7601 0.7138
0.1334 0.1334 0.6145
```

Entry 2:
This record from the Alexandria database describes a relaxed PdAuO4 crystal. The functional is PBE-GGA.

Values from the calculation:
E: -4.734 eV per atom
Formation energy (no corrections): -10 kJ/mol of formula units
Space-group type: P2/c

POSCAR file:
```
PdAuO4
1.0
4.6279 0.0000 0.0000
0.0000 5.6829 0.0000
-0.0118 0.0000 5.3348
Pd Au O
2 2 8
direct
0.0000 0.1500 0.2500
0.0000 0.8500 0.7500
0.5000 0.3426 0.7500
0.5000 0.6574 0.2500
0.2421 0.0949 0.5675
0.2421 0.9051 0.0675
0.2516 0.3968 0.0749
0.2516 0.6032 0.5749
0.7484 0.3968 0.4251
0.7484 0.6032 0.9251
0.7579 0.0949 0.9325
0.7579 0.9051 0.4325
```

Entry 3:
This record from the Alexandria database describes a relaxed LaErFe4 crystal. The functional is PBE-GGA.

Values from the calculation:
Formation energy from the elements: -0.002 eV/atom
E: -7.226 eV per atom
Space-group type: F-43m

POSCAR file:
```
LaErFe4
1.0
0.0000 3.6806 3.6806
3.6806 0.0000 3.6806
3.6806 3.6806 0.0000
La Er Fe
1 1 4
direct
0.0000 0.0000 0.0000
0.2500 0.2500 0.2500
0.1265 0.6245 0.6245
0.6245 0.1265 0.6245
0.6245 0.6245 0.1265
0.6245 0.6245 0.6245
```

Entry 4:
This record from the Alexandria database describes a relaxed CaRe2Br2 crystal. The functional is PBE-GGA.

Values from the calculation:
E: -5.114 eV per atom
Formation energy (no corrections): 451 kJ/mol of formula units
Space-group type: I4/mmm

POSCAR file:
```
CaRe2Br2
1.0
-2.1415 2.1415 5.6853
2.1415 -2.1415 5.6853
2.1415 2.1415 -5.6853
Ca Re Br
1 2 2
direct
0.0000 0.0000 0.0000
0.2500 0.7500 0.5000
0.7500 0.2500 0.5000
0.3657 0.3657 0.0000
0.6343 0.6343 0.0000
```

Entry 5:
This record from the Alexandria database describes a relaxed PuUTiNb crystal. The functional is PBE-GGA.

Values from the calculation:
Formation energy from the elements: 0.159 eV/atom
E: -10.737 eV per atom
Space-group type: F-43m

POSCAR file:
```
PuUTiNb
1.0
0.0000 3.3891 3.3891
3.3891 0.0000 3.3891
3.3891 3.3891 0.0000
Pu U Ti Nb
1 1 1 1
direct
0.0000 0.0000 0.0000
0.2500 0.2500 0.2500
0.7500 0.7500 0.7500
0.5000 0.5000 0.5000
```

Entry 6:
This record from the Alexandria database describes a relaxed Ge2PdPt crystal. The functional is PBE-GGA.

Values from the calculation:
Formation energy from the elements: -0.420 eV/atom
E: -5.537 eV per atom
Space-group type: P-1

POSCAR file:
```
Ge2PdPt
1.0
3.7849 0.0000 0.0000
1.8504 3.3827 0.0000
0.0068 -0.0024 5.4712
Ge Pd Pt
2 1 1
direct
0.1678 0.1567 0.2556
0.8322 0.8433 0.7444
0.5000 0.5000 0.0000
0.5000 0.5000 0.5000
```

Number 1: calculated density 9.9 g/cm³, magnetization 0.000 μB per atom, Fermi-level density of states 3.93 states/eV/cell. Number 2: calculated density 8.7 g/cm³, magnetization 0.000 μB per atom, Fermi-level density of states 4.97 states/eV/cell. Number 3: calculated density 8.8 g/cm³, magnetization 1.295 μB per atom, Fermi-level density of states 7.06 states/eV/cell. Number 4: calculated density 9.1 g/cm³, magnetization 0.000 μB per atom, Fermi-level density of states 3.39 states/eV/cell. Number 5: calculated density 13.3 g/cm³, magnetization 1.539 μB per atom, Fermi-level density of states 9.29 states/eV/cell. Number 6: calculated density 10.6 g/cm³, magnetization 0.000 μB per atom, Fermi-level density of states 1.61 states/eV/cell.